This record from the Alexandria database describes an optimized crystal structure of ZrTa2Tl. The functional is PBE-GGA.

a = 7.882 Å, b = 7.882 Å, c = 5.724 Å
α = 90.00°, β = 90.00°, γ = 90.00°
Fractional coordinates of all 16 atoms:
Zr1 0.000 0.000 0.000
Zr2 0.000 0.500 0.250
Zr3 0.500 0.000 0.750
Zr4 0.500 0.500 0.500
Ta1 0.242 0.250 0.625
Ta2 0.250 0.742 0.875
Ta3 0.250 0.758 0.375
Ta4 0.258 0.250 0.125
Ta5 0.742 0.750 0.125
Ta6 0.750 0.242 0.375
Ta7 0.750 0.258 0.875
Ta8 0.758 0.750 0.625
Tl1 0.000 0.000 0.500
Tl2 0.000 0.500 0.750
Tl3 0.500 0.000 0.250
Tl4 0.500 0.500 0.000

## Properties
DOS at the Fermi energy ... 0.797 states/eV/atom
Space-group type ... I-42d (122)
Energy above the most stable polymorph in this dataset ... 18.51 kcal/mol of atoms
Formation enthalpy at 0 K ... 0.903 eV/atom
Total moment ... 0.0 μB/f.u.



This record from the Alexandria database describes an optimized crystal structure of Zr4TaTl. The functional is PBE-GGA.

a = 5.742 Å, b = 5.742 Å, c = 5.742 Å
α = 60.00°, β = 60.00°, γ = 60.00°
Fractional coordinates of all 6 atoms:
Zr1 0.123 0.123 0.123
Zr2 0.123 0.123 0.632
Zr3 0.123 0.632 0.123
Zr4 0.632 0.123 0.123
Ta1 0.750 0.750 0.750
Tl1 0.500 0.500 0.500

## Properties
DOS at the Fermi energy ... 1.357 states/eV/atom
Space-group type ... F-43m (216)
Formation enthalpy at 0 K ... 0.422 eV/atom
Total moment ... 0.0 μB/f.u.



This record from the Alexandria database describes an optimized crystal structure of ZrTaTl2. The functional is PBE-GGA.

a = 3.169 Å, b = 3.169 Å, c = 30.458 Å
α = 90.00°, β = 90.00°, γ = 120.00°
Fractional coordinates of all 12 atoms:
Zr1 0.000 0.000 0.000
Zr2 0.333 0.667 0.667
Zr3 0.667 0.333 0.333
Ta1 0.000 0.000 0.500
Ta2 0.333 0.667 0.167
Ta3 0.667 0.333 0.833
Tl1 0.000 0.000 0.248
Tl2 0.000 0.000 0.752
Tl3 0.333 0.667 0.419
Tl4 0.333 0.667 0.914
Tl5 0.667 0.333 0.086
Tl6 0.667 0.333 0.581

## Properties
DOS at the Fermi energy ... 0.656 states/eV/atom
Space-group type ... R-3m (166)
Energy above the most stable polymorph in this dataset ... 0.24 kcal/mol of atoms
Formation enthalpy at 0 K ... 0.291 eV/atom
Total moment ... 0.0 μB/f.u.



This record from the Alexandria database describes an optimized crystal structure of ZrTa3Tl. The functional is PBE-GGA.

a = 4.961 Å, b = 4.961 Å, c = 4.961 Å
α = 90.00°, β = 90.00°, γ = 90.00°
Fractional coordinates of all 5 atoms:
Zr1 0.000 0.000 0.000
Ta1 0.000 0.000 0.500
Ta2 0.000 0.500 0.000
Ta3 0.500 0.000 0.000
Tl1 0.500 0.500 0.500

## Properties
DOS at the Fermi energy ... 1.180 states/eV/atom
Space-group type ... Pm-3m (221)
Energy above the most stable polymorph in this dataset ... 0.00 kcal/mol of atoms
Formation enthalpy at 0 K ... 1.858 eV/atom
Total moment ... 0.0 μB/f.u.



This record from the Alexandria database describes an optimized crystal structure of ZrTaTl2. The functional is PBE-GGA.

a = 10.191 Å, b = 3.177 Å, c = 5.558 Å
α = 90.00°, β = 99.85°, γ = 90.00°
Fractional coordinates of all 8 atoms:
Zr1 0.000 0.000 0.000
Zr2 0.500 0.500 0.000
Ta1 0.000 0.500 0.500
Ta2 0.500 0.000 0.500
Tl1 0.248 0.000 0.743
Tl2 0.252 0.500 0.257
Tl3 0.748 0.500 0.743
Tl4 0.752 0.000 0.257

## Properties
DOS at the Fermi energy ... 0.733 states/eV/atom
Space-group type ... C2/m (12)
Energy above the most stable polymorph in this dataset ... 0.53 kcal/mol of atoms
Formation enthalpy at 0 K ... 0.304 eV/atom
Total moment ... 0.0 μB/f.u.



This record from the Alexandria database describes an optimized crystal structure of ZrTa2Tl. The functional is PBE-GGA.

a = 3.821 Å, b = 4.507 Å, c = 9.483 Å
α = 90.00°, β = 90.00°, γ = 90.00°
Fractional coordinates of all 8 atoms:
Zr1 0.000 0.000 0.000
Zr2 0.500 0.500 0.500
Ta1 0.000 0.500 0.253
Ta2 0.000 0.500 0.747
Ta3 0.500 0.000 0.247
Ta4 0.500 0.000 0.753
Tl1 0.000 0.000 0.500
Tl2 0.500 0.500 0.000

## Properties
DOS at the Fermi energy ... 0.922 states/eV/atom
Space-group type ... Immm (71)
Energy above the most stable polymorph in this dataset ... 3.53 kcal/mol of atoms
Formation enthalpy at 0 K ... 0.253 eV/atom
Total moment ... 0.0 μB/f.u.